Record 1
A plane-wave DFT calculation with PBE was carried out for Mg2ZnCu after structural relaxation.

Results
ΔH_f (0 K)	-0.079	eV/atom

Lattice parameters (Å, degrees): 5.2787 5.2787 4.7426 71.14 71.14 32.95
Last column: nearest neighbours and their distance in Å.
Fractional positions:
Mg 0.9756 0.9756 0.0527  3 Cu 2.77-2.98, 4 Zn 2.83-2.87, 3 Mg 2.99-3.08
Cu 0.2316 0.2316 0.2279  2 Zn 2.54, 6 Mg 2.77-2.85
Zn 0.5270 0.5270 0.5105  2 Cu 2.54, 2 Mg 2.83
Mg 0.7658 0.7658 0.7089  4 Cu 2.80-2.85, 3 Zn 2.87-2.91, 4 Mg 2.99-3.12

Record 2
A plane-wave DFT calculation with PBE was carried out for BeRePCl2 after structural relaxation.

Results
formation energy without anion corrections	694	meV/atom
energy relative to the lowest polymorph listed for this composition	0.0000	eV/atom

Lattice parameters (Å, degrees): 3.9453 3.9453 7.1172 90.00 90.00 90.00
Last column: nearest neighbours and their distance in Å.
Fractional positions:
Cl 0.0000 0.5000 0.0000  2 Be 1.97
Be 0.0000 0.0000 0.0000  4 Cl 1.97
Cl 0.5000 0.0000 0.0000  2 Be 1.97
P 0.0000 0.0000 0.5000  4 Re 2.79
Re 0.5000 0.5000 0.5000  4 P 2.79

Electronic total energy
In order: -2.2193 -4.3618
Unit: eV/atom